The following is a DFT calculation (PBE-GGA) of PrAgHg2 after structural relaxation.

Cell lengths 5.143, 5.143, 5.143 Å; angles 60.00, 60.00, 60.00 degrees
Fractional coordinates of all 4 atoms:
Pr1 0.000 0.000 0.000
Ag1 0.500 0.500 0.500
Hg1 0.250 0.250 0.250
Hg2 0.750 0.750 0.750

Values from the calculation:
Spin magnetization: 0.00 μB per formula unit
SG: No. 225
Calculated volume: 24.05 Å³ per atom
Energy of formation from the pure elements: -370 meV/atom